Entry 1:
Computed, not measured: a relaxed GaAg3 crystal at the PBE-GGA level of DFT.

Cell lengths 5.0932, 5.0932, 5.0932 Å; angles 132.67, 132.67, 69.18 degrees
Atoms (fractional coordinates):
Ga (0.0000, 0.0000, 0.0000)
Ag (0.2500, 0.7500, 0.5000)
Ag (0.5000, 0.5000, 0.0000)
Ag (0.7500, 0.2500, 0.5000)

Results
Energy of formation   -0.002 eV/atom
Magnetic moment   0.000 μB per atom
Raw total energy   -0.213 Ry/atom

=====

Entry 2:
Computed, not measured: a relaxed RuPtW2 crystal at the PBE-GGA level of DFT.

Cell lengths 4.4649, 4.4649, 4.4649 Å; angles 60.00, 60.00, 60.00 degrees
Atoms (fractional coordinates):
Ru (0.0000, 0.0000, 0.0000)
Pt (0.5000, 0.5000, 0.5000)
W (0.2500, 0.2500, 0.2500)
W (0.7500, 0.7500, 0.7500)

Results
E above lowest polymorph   222 kJ/mol of formula units
Energy of formation   0.402 eV/atom
Magnetic moment   0.000 μB per atom
Raw total energy   -0.728 Ry/atom

=====

Entry 3:
Computed, not measured: a relaxed Pr2Dy3Y4 crystal at the PBE-GGA level of DFT.

Cell lengths 10.0883, 10.0883, 6.1787 Å; angles 95.05, 95.05, 70.81 degrees
Atoms (fractional coordinates):
Pr (0.0230, 0.7326, 0.6767)
Pr (0.2674, 0.9770, 0.8233)
Pr (0.7326, 0.0230, 0.1767)
Pr (0.9770, 0.2674, 0.3233)
Dy (0.0968, 0.9032, 0.2500)
Dy (0.2366, 0.4337, 0.4052)
Dy (0.4337, 0.2366, 0.9052)
Dy (0.5663, 0.7634, 0.0948)
Dy (0.7634, 0.5663, 0.5948)
Dy (0.9032, 0.0968, 0.7500)
Y (0.0790, 0.3521, 0.8492)
Y (0.3130, 0.5929, 0.9848)
Y (0.3521, 0.0790, 0.3492)
Y (0.4071, 0.6870, 0.5152)
Y (0.5929, 0.3130, 0.4848)
Y (0.6479, 0.9210, 0.6508)
Y (0.6870, 0.4071, 0.0152)
Y (0.9210, 0.6479, 0.1508)

Results
E above lowest polymorph   18 kJ/mol of formula units
Energy of formation   0.091 eV/atom
Magnetic moment   0.000 μB per atom
Raw total energy   -0.395 Ry/atom

=====

Entry 4:
Computed, not measured: a relaxed Ca2TeAu2 crystal at the PBE-GGA level of DFT.

Cell lengths 6.4146, 6.4146, 6.4146 Å; angles 131.42, 131.42, 71.15 degrees
Atoms (fractional coordinates):
Ca (0.2500, 0.7500, 0.5000)
Ca (0.7500, 0.2500, 0.5000)
Te (0.0000, 0.0000, 0.0000)
Au (0.3720, 0.3720, 0.0000)
Au (0.6280, 0.6280, 0.0000)

Results
E above lowest polymorph   70 kJ/mol of formula units
Magnetic moment   0.000 μB per atom
Uncorrected formation energy   -0.729 eV/atom
Raw total energy   -0.255 Ry/atom

=====

Entry 5:
Computed, not measured: a relaxed Nb3ReMo2 crystal at the PBE-GGA level of DFT.

Cell lengths 7.2120, 7.2120, 3.2186 Å; angles 90.00, 90.00, 143.15 degrees
Atoms (fractional coordinates):
Nb (0.0000, 0.0000, 0.0000)
Nb (0.3340, 0.6660, 0.0000)
Nb (0.6660, 0.3340, 0.0000)
Re (0.5000, 0.5000, 0.5000)
Mo (0.1661, 0.8339, 0.5000)
Mo (0.8339, 0.1661, 0.5000)

Results
E above lowest polymorph   0 kJ/mol of formula units
Energy of formation   -0.204 eV/atom
Magnetic moment   0.000 μB per atom
Raw total energy   -0.803 Ry/atom

=====

Entry 6:
Computed, not measured: a relaxed SmSi3H12 crystal at the PBE-GGA level of DFT.

Cell lengths 9.4611, 9.4611, 9.4611 Å; angles 42.40, 42.40, 42.40 degrees
Atoms (fractional coordinates):
Sm (0.0000, 0.0000, 0.0000)
Sm (0.5000, 0.5000, 0.5000)
Si (0.1035, 0.3521, 0.8208)
Si (0.3208, 0.8521, 0.6035)
Si (0.3521, 0.8208, 0.1035)
Si (0.6035, 0.3208, 0.8521)
Si (0.8208, 0.1035, 0.3521)
Si (0.8521, 0.6035, 0.3208)
H (0.0283, 0.6988, 0.0667)
H (0.0318, 0.3631, 0.3929)
H (0.0667, 0.0283, 0.6988)
H (0.1390, 0.2647, 0.6996)
H (0.1988, 0.5283, 0.5667)
H (0.1996, 0.7647, 0.6390)
H (0.2496, 0.3002, 0.8879)
H (0.2647, 0.6996, 0.1390)
H (0.3002, 0.8879, 0.2496)
H (0.3631, 0.3929, 0.0318)
H (0.3879, 0.8002, 0.7496)
H (0.3929, 0.0318, 0.3631)
H (0.5283, 0.5667, 0.1988)
H (0.5318, 0.8929, 0.8631)
H (0.5667, 0.1988, 0.5283)
H (0.6390, 0.1996, 0.7647)
H (0.6988, 0.0667, 0.0283)
H (0.6996, 0.1390, 0.2647)
H (0.7496, 0.3879, 0.8002)
H (0.7647, 0.6390, 0.1996)
H (0.8002, 0.7496, 0.3879)
H (0.8631, 0.5318, 0.8929)
H (0.8879, 0.2496, 0.3002)
H (0.8929, 0.8631, 0.5318)

Results
Magnetic moment   0.000 μB per atom
Raw total energy   -0.276 Ry/atom